# 1
Below is a relaxed LaCePuSc crystal, with properties calculated at the PBE-GGA level.

a b c (Å): 5.477 5.477 5.477
angles (deg): 60.00 60.00 60.00
Positions (direct):
Sc 0.500 0.500 0.500
La 0.250 0.250 0.250
Ce 0.750 0.750 0.750
Pu 0.000 0.000 0.000

Energy of formation from the pure elements (eV per atom): 0.1823
Magnetization (μB per formula unit): 7.84
Calculated density (g/cm³): 8.12
N(E_F) (states/eV/atom): 2.4194
V (A^3/atom): 29.0

---

# 2
Below is a relaxed LaCe2PuSe4 crystal, with properties calculated at the PBE-GGA level.

a b c (Å): 4.198 7.292 7.352
angles (deg): 109.27 90.00 90.00
Positions (direct):
La 0.000 0.000 0.000
Ce 0.500 0.000 0.500
Ce 0.000 0.500 0.500
Pu 0.500 0.500 0.000
Se 0.500 0.256 0.253
Se 0.500 0.744 0.747
Se 0.000 0.256 0.752
Se 0.000 0.744 0.248

ΔE_f (raw) (eV per atom): -1.79
Magnetization (μB per formula unit): 4.05
Calculated density (g/cm³): 7.65
N(E_F) (states/eV/atom): 2.4793
V (A^3/atom): 26.6

---

# 3
Below is a relaxed La2CePuSe4 crystal, with properties calculated at the PBE-GGA level.

a b c (Å): 4.226 7.398 7.348
angles (deg): 109.23 90.00 90.00
Positions (direct):
La 0.500 0.000 0.500
La 0.000 0.500 0.500
Ce 0.000 0.000 0.000
Pu 0.500 0.500 0.000
Se 0.500 0.249 0.241
Se 0.500 0.751 0.759
Se 0.000 0.256 0.761
Se 0.000 0.744 0.239

ΔE_f (raw) (eV per atom): -1.84
Magnetization (μB per formula unit): 4.97
Calculated density (g/cm³): 7.49
N(E_F) (states/eV/atom): 1.9613
V (A^3/atom): 27.1

---

Copy entry 1 word for word.
Below is a relaxed LaCePuSc crystal, with properties calculated at the PBE-GGA level.

a b c (Å): 5.477 5.477 5.477
angles (deg): 60.00 60.00 60.00
Positions (direct):
Sc 0.500 0.500 0.500
La 0.250 0.250 0.250
Ce 0.750 0.750 0.750
Pu 0.000 0.000 0.000

Energy of formation from the pure elements (eV per atom): 0.1823
Magnetization (μB per formula unit): 7.84
Calculated density (g/cm³): 8.12
N(E_F) (states/eV/atom): 2.4194
V (A^3/atom): 29.0

---

Question: Which of these has the highest N(E_F)?
Answer: LaCe2PuSe4

---

Question: Which value of magnetization does entry 1 give?
Answer: 7.84 μB per formula unit

---

Question: Among the records above, which one has the highest N(E_F)?
Answer: LaCe2PuSe4